(A)
SnPt15 | PBE | optimized geometry

Structure (CIF):
```
data_SnPt15
_cell_length_a 5.5499
_cell_length_b 3.9698
_cell_length_c 36.4835
_cell_angle_alpha 90.00
_cell_angle_beta 90.00
_cell_angle_gamma 90.00
_space_group_name_H-M_alt 'P 1 21/m 1'
_space_group_IT_number 11
_space_group_name_Hall '-P 2yb'
loop_
_atom_site_label
_atom_site_fract_x
_atom_site_fract_y
_atom_site_fract_z
Sn1 0.1249 0.2500 0.2951
Pt1 0.1232 0.2500 0.7457
Pt2 0.1226 0.2500 0.8255
Pt3 0.1242 0.2500 0.9032
Pt4 0.1252 0.2500 0.0578
Pt5 0.1250 0.2500 0.1357
Pt6 0.1250 0.2500 0.2148
Pt7 0.1251 0.2500 0.9805
Pt8 0.3726 0.7500 0.1744
Pt9 0.3742 0.7500 0.0966
Pt10 0.3736 0.7500 0.2542
Pt11 0.3750 0.7500 0.0191
Pt12 0.3754 0.7500 0.7127
Pt13 0.3748 0.7500 0.7887
Pt14 0.3750 0.7500 0.8650
Pt15 0.3751 0.7500 0.9418
```

Computed properties:
M_tot: 0.00 μB/f.u.

***

(B)
SnPt15 | PBE | optimized geometry

Structure (CIF):
```
data_SnPt15
_cell_length_a 5.5614
_cell_length_b 2.8266
_cell_length_c 44.9557
_cell_angle_alpha 90.00
_cell_angle_beta 90.00
_cell_angle_gamma 90.00
_space_group_name_H-M_alt 'P 1 21/m 1'
_space_group_IT_number 11
_space_group_name_Hall '-P 2yb'
loop_
_atom_site_label
_atom_site_fract_x
_atom_site_fract_y
_atom_site_fract_z
Sn1 0.1250 0.2500 0.1640
Pt1 0.1221 0.2500 0.7872
Pt2 0.1240 0.2500 0.6981
Pt3 0.1250 0.2500 0.2572
Pt4 0.1250 0.2500 0.3459
Pt5 0.1250 0.2500 0.4338
Pt6 0.1250 0.2500 0.5221
Pt7 0.1249 0.2500 0.6102
Pt8 0.3721 0.7500 0.2128
Pt9 0.3740 0.7500 0.3019
Pt10 0.3749 0.7500 0.3898
Pt11 0.3750 0.7500 0.4779
Pt12 0.3750 0.7500 0.5662
Pt13 0.3750 0.7500 0.6542
Pt14 0.3750 0.7500 0.7420
Pt15 0.3750 0.7500 0.8306
```

Computed properties:
M_tot: 0.00 μB/f.u.

***

Relative energies with respect to the most stable structure, expressed in kJ/mol of atoms: (A) 0.0; (B) 0.9.